1.
Compound: MgPaAu
Source: OQMD via LeMat-Bulk
Functional: PBE-GGA
Structure: relaxed

Unit cell a=4.7731 b=4.7731 c=4.7731 alpha=60.00 beta=60.00 gamma=60.00
Element x y z (fractional)
Mg: 0.2500 0.2500 0.2500
Pa: 0.7500 0.7500 0.7500
Au: 0.0000 0.0000 0.0000

Output
distance to the lowest polymorph of the same formula	0.0	kJ/mol of atoms
DFT total energy	-14.5	eV for the cell shown
calculated volume	25.63	Å³ per atom

2.
Compound: Mg6Pb2Au
Source: OQMD via LeMat-Bulk
Functional: PBE-GGA
Structure: relaxed

Unit cell a=7.9414 b=7.9414 c=3.8167 alpha=90.00 beta=90.00 gamma=120.00
Element x y z (fractional)
Mg: 0.0000 0.3648 0.5000
Mg: 0.3648 0.0000 0.5000
Mg: 0.7514 0.0000 0.0000
Mg: 0.6352 0.6352 0.5000
Mg: 0.2486 0.2486 0.0000
Mg: 0.0000 0.7514 0.0000
Pb: 0.6667 0.3333 0.0000
Pb: 0.3333 0.6667 0.0000
Au: 0.0000 0.0000 0.5000

Output
DFT total energy	-22.0	eV for the cell shown
calculated volume	23.16	Å³ per atom

3.
Compound: MgPd2Au
Source: OQMD via LeMat-Bulk
Functional: PBE-GGA
Structure: relaxed

Unit cell a=4.4303 b=4.4303 c=8.1681 alpha=90.00 beta=90.00 gamma=120.00
Element x y z (fractional)
Mg: 0.0000 0.0000 0.0000
Mg: 0.0000 0.0000 0.5000
Pd: 0.6667 0.3333 0.4133
Pd: 0.3333 0.6667 0.5867
Pd: 0.3333 0.6667 0.9133
Pd: 0.6667 0.3333 0.0867
Au: 0.6667 0.3333 0.7500
Au: 0.3333 0.6667 0.2500

Output
DFT total energy	-33.6	eV for the cell shown
calculated volume	17.36	Å³ per atom

4.
Compound: MgPd2Au
Source: OQMD via LeMat-Bulk
Functional: PBE-GGA
Structure: relaxed

Unit cell a=4.5520 b=4.5520 c=7.9763 alpha=90.00 beta=90.00 gamma=120.00
Element x y z (fractional)
Au: 0.0000 0.0000 0.0000
Au: 0.0000 0.0000 0.5000
Mg: 0.6667 0.3333 0.7500
Mg: 0.3333 0.6667 0.2500
Pd: 0.3333 0.6667 0.5797
Pd: 0.6667 0.3333 0.0797
Pd: 0.3333 0.6667 0.9203
Pd: 0.6667 0.3333 0.4203

Output
DFT total energy	-33.2	eV for the cell shown
calculated volume	17.89	Å³ per atom